# LiAc2SbO5, optimized geometry, DFT PBE-GGA
# electronic total energy = -6.490 eV per atom
# formation energy from raw total energies = -19.365 eV per formula unit
# M_tot = 0.00 μB/atom
data_LiAc2SbO5
_chemical_formula_sum 'Li2 Ac4 Sb2 O10'
_symmetry_space_group_name_H-M 'P 1'
_symmetry_Int_Tables_number 1
_symmetry_space_group_name_Hall 'P 1'
_cell_length_a 7.198
_cell_length_b 7.198
_cell_length_c 6.397
_cell_angle_alpha 90.00
_cell_angle_beta 90.00
_cell_angle_gamma 90.00
loop_
_atom_site_label
_atom_site_fract_x
_atom_site_fract_y
_atom_site_fract_z
_atom_site_occupancy
Li1 0.000 0.000 0.000 1
Li2 0.500 0.500 0.000 1
Ac1 0.179 0.321 0.500 1
Ac2 0.321 0.821 0.500 1
Ac3 0.679 0.179 0.500 1
Ac4 0.821 0.679 0.500 1
Sb1 0.000 0.500 0.000 1
Sb2 0.500 0.000 0.000 1
O1 0.000 0.000 0.500 1
O2 0.139 0.639 0.251 1
O3 0.139 0.639 0.749 1
O4 0.361 0.139 0.251 1
O5 0.361 0.139 0.749 1
O6 0.500 0.500 0.500 1
O7 0.639 0.861 0.251 1
O8 0.639 0.861 0.749 1
O9 0.861 0.361 0.251 1
O10 0.861 0.361 0.749 1